VASP calculation (PBE) on CrCo after structural relaxation.

Properties
DFT formation energy in meV/atom: 817

Cell: 3.528 3.528 4.722 Å, 90.00 90.00 120.00°
Fractional positions:
1 Cr 0.000 0.000 0.000
2 Cr 0.000 0.000 0.500
3 Co 0.333 0.667 0.250
4 Co 0.667 0.333 0.750

***

VASP calculation (PBE) on CrCo after structural relaxation.

Properties
DFT formation energy in meV/atom: 115

Cell: 2.429 2.429 7.785 Å, 90.00 90.00 103.42°
Fractional positions:
1 Cr 0.250 0.750 0.870
2 Cr 0.750 0.250 0.130
3 Co 0.250 0.750 0.380
4 Co 0.750 0.250 0.620

***

VASP calculation (PBE) on CrCo after structural relaxation.

Properties
DFT formation energy in meV/atom: 678

Cell: 3.493 3.493 4.746 Å, 90.00 90.00 120.00°
Fractional positions:
1 Cr 0.333 0.667 0.250
2 Cr 0.667 0.333 0.750
3 Co 0.000 0.000 0.000
4 Co 0.000 0.000 0.500

***

VASP calculation (PBE) on CrCo after structural relaxation.

Properties
DFT formation energy in meV/atom: 487

Cell: 6.293 6.293 6.293 Å, 92.14 92.14 157.74°
Fractional positions:
1 Cr 0.111 0.160 0.271
2 Cr 0.160 0.889 0.049
3 Cr 0.840 0.111 0.951
4 Cr 0.889 0.840 0.729
5 Co 0.091 0.642 0.732
6 Co 0.358 0.091 0.449
7 Co 0.642 0.909 0.551
8 Co 0.909 0.358 0.268

***

VASP calculation (PBE) on CrCo5 after structural relaxation.

Properties
DFT formation energy in meV/atom: 54

Cell: 4.718 4.718 5.873 Å, 103.78 103.78 30.92°
Fractional positions:
1 Cr 0.000 0.000 0.000
2 Co 0.278 0.278 0.057
3 Co 0.333 0.333 0.665
4 Co 0.612 0.612 0.723
5 Co 0.668 0.668 0.333
6 Co 0.947 0.947 0.390

***

VASP calculation (PBE) on CrCo after structural relaxation.

Properties
DFT formation energy in meV/atom: 145

Cell: 4.349 4.349 4.349 Å, 33.24 33.24 33.24°
Fractional positions:
1 Cr 0.000 0.000 0.000
2 Co 0.500 0.500 0.500

***

VASP calculation (PBE) on CrCo after structural relaxation.

Properties
DFT formation energy in meV/atom: 881

Cell: 3.276 3.276 3.276 Å, 60.00 60.00 60.00°
Fractional positions:
1 Cr 0.000 0.000 0.000
2 Co 0.500 0.500 0.500

***

VASP calculation (PBE) on CrCo after structural relaxation.

Properties
DFT formation energy in meV/atom: 148

Cell: 2.501 2.501 8.192 Å, 90.00 90.00 120.00°
Fractional positions:
1 Cr 0.333 0.667 0.364
2 Cr 0.667 0.333 0.636
3 Co 0.333 0.667 0.876
4 Co 0.667 0.333 0.124

***

VASP calculation (PBE) on Cr3Co5 after structural relaxation.

Properties
DFT formation energy in meV/atom: 208

Cell: 6.642 6.642 6.597 Å, 96.70 96.70 139.58°
Fractional positions:
1 Cr 0.000 0.000 0.000
2 Cr 0.168 0.716 0.084
3 Cr 0.345 0.692 0.695
4 Cr 0.692 0.345 0.695
5 Cr 0.716 0.168 0.084
6 Cr 0.881 0.881 0.330
7 Co 0.039 0.653 0.414
8 Co 0.211 0.910 0.798
9 Co 0.219 0.425 0.344
10 Co 0.302 0.302 0.698
11 Co 0.425 0.219 0.344
12 Co 0.443 0.632 0.047
13 Co 0.632 0.443 0.047
14 Co 0.653 0.039 0.414
15 Co 0.749 0.749 0.619
16 Co 0.910 0.211 0.798

***

VASP calculation (PBE) on CrCo after structural relaxation.

Properties
DFT formation energy in meV/atom: 78

Cell: 4.790 4.790 5.901 Å, 103.70 103.70 29.93°
Fractional positions:
1 Cr 0.000 0.000 0.000
2 Cr 0.062 0.062 0.619
3 Cr 0.378 0.378 0.288
4 Co 0.334 0.334 0.671
5 Co 0.661 0.661 0.334
6 Co 0.724 0.724 0.948

***

VASP calculation (PBE) on Cr4Co after structural relaxation.

Properties
Distance to the lowest polymorph of the same formula in eV/atom: 1.111
DFT formation energy in meV/atom: 1217

Cell: 4.387 4.387 4.387 Å, 90.00 90.00 90.00°
Fractional positions:
1 Cr 0.000 0.000 0.000
2 Cr 0.000 0.500 0.500
3 Cr 0.500 0.000 0.500
4 Cr 0.500 0.500 0.000
5 Co 0.500 0.500 0.500

***

VASP calculation (PBE) on Cr2Co3 after structural relaxation.

Properties
Distance to the lowest polymorph of the same formula in eV/atom: 0.232
DFT formation energy in meV/atom: 350

Cell: 7.993 7.594 4.131 Å, 80.05 69.35 30.60°
Fractional positions:
1 Cr 0.221 0.779 0.779
2 Cr 0.250 0.250 0.250
3 Cr 0.750 0.750 0.750
4 Cr 0.779 0.221 0.221
5 Co 0.160 0.160 0.840
6 Co 0.212 0.588 0.412
7 Co 0.412 0.788 0.212
8 Co 0.588 0.212 0.788
9 Co 0.788 0.412 0.588
10 Co 0.840 0.840 0.160

***

VASP calculation (PBE) on Cr2Co3 after structural relaxation.

Properties
Distance to the lowest polymorph of the same formula in eV/atom: 0.000
DFT formation energy in meV/atom: 118

Cell: 10.314 10.314 10.314 Å, 13.85 13.85 13.85°
Fractional positions:
1 Cr 0.099 0.099 0.099
2 Cr 0.901 0.901 0.901
3 Co 0.299 0.299 0.299
4 Co 0.500 0.500 0.500
5 Co 0.701 0.701 0.701

***

VASP calculation (PBE) on CrCo after structural relaxation.

Properties
DFT formation energy in meV/atom: 85

Cell: 2.471 4.393 4.734 Å, 62.53 75.20 89.59°
Fractional positions:
1 Cr 0.105 0.463 0.255
2 Cr 0.895 0.537 0.745
3 Co 0.377 0.041 0.751
4 Co 0.623 0.959 0.249

***

VASP calculation (PBE) on CrCo5 after structural relaxation.

Properties
DFT formation energy in meV/atom: 202

Cell: 4.625 4.625 4.625 Å, 60.00 60.00 60.00°
Fractional positions:
1 Cr 0.000 0.000 0.000
2 Co 0.126 0.625 0.625
3 Co 0.250 0.250 0.250
4 Co 0.625 0.126 0.625
5 Co 0.625 0.625 0.126
6 Co 0.625 0.625 0.625

***

VASP calculation (PBE) on CrCo after structural relaxation.

Properties
DFT formation energy in meV/atom: 1579

Cell: 6.124 6.124 6.124 Å, 90.00 90.00 90.00°
Fractional positions:
1 Cr 0.000 0.250 0.500
2 Cr 0.000 0.750 0.500
3 Cr 0.250 0.500 0.000
4 Cr 0.500 0.000 0.250
5 Cr 0.500 0.000 0.750
6 Cr 0.750 0.500 0.000
7 Co 0.000 0.500 0.250
8 Co 0.000 0.500 0.750
9 Co 0.250 0.000 0.500
10 Co 0.500 0.250 0.000
11 Co 0.500 0.750 0.000
12 Co 0.750 0.000 0.500

***

VASP calculation (PBE) on Cr4Co5 after structural relaxation.

Properties
DFT formation energy in meV/atom: 95

Cell: 5.619 5.619 5.619 Å, 95.28 95.28 144.67°
Fractional positions:
1 Cr 0.000 0.326 0.326
2 Cr 0.000 0.674 0.674
3 Cr 0.326 0.000 0.326
4 Cr 0.674 0.000 0.674
5 Co 0.000 0.000 0.000
6 Co 0.335 0.335 0.669
7 Co 0.335 0.665 0.000
8 Co 0.665 0.335 0.000
9 Co 0.665 0.665 0.331

***

VASP calculation (PBE) on Cr8Co7 after structural relaxation.

Properties
DFT formation energy in meV/atom: 89

Cell: 8.585 8.585 4.509 Å, 90.00 90.00 90.00°
Fractional positions:
1 Cr 0.037 0.370 0.000
2 Cr 0.103 0.103 0.004
3 Cr 0.130 0.537 0.500
4 Cr 0.176 0.824 0.759
5 Cr 0.324 0.324 0.259
6 Cr 0.370 0.037 0.000
7 Cr 0.397 0.603 0.504
8 Cr 0.463 0.870 0.500
9 Cr 0.537 0.130 0.500
10 Cr 0.603 0.397 0.504
11 Cr 0.630 0.963 0.000
12 Cr 0.676 0.676 0.259
13 Cr 0.824 0.176 0.759
14 Cr 0.870 0.463 0.500
15 Cr 0.897 0.897 0.004
16 Cr 0.963 0.630 0.000
17 Co 0.000 0.000 0.497
18 Co 0.066 0.262 0.494
19 Co 0.190 0.810 0.258
20 Co 0.238 0.566 0.994
21 Co 0.262 0.066 0.494
22 Co 0.310 0.310 0.758
23 Co 0.434 0.762 0.994
24 Co 0.500 0.500 0.997
25 Co 0.566 0.238 0.994
26 Co 0.690 0.690 0.758
27 Co 0.738 0.934 0.494
28 Co 0.762 0.434 0.994
29 Co 0.810 0.190 0.258
30 Co 0.934 0.738 0.494

***

VASP calculation (PBE) on CrCo after structural relaxation.

Properties
DFT formation energy in meV/atom: 105

Cell: 2.501 2.501 4.041 Å, 90.00 90.00 120.00°
Fractional positions:
1 Cr 0.000 0.000 0.000
2 Co 0.667 0.333 0.500

***

VASP calculation (PBE) on Cr8Co after structural relaxation.

Properties
DFT formation energy in meV/atom: 59

Cell: 6.204 6.204 6.204 Å, 93.02 93.02 153.46°
Fractional positions:
1 Cr 0.000 0.332 0.332
2 Cr 0.000 0.668 0.668
3 Cr 0.332 0.000 0.332
4 Cr 0.332 0.332 0.663
5 Cr 0.332 0.668 0.000
6 Cr 0.668 0.000 0.668
7 Cr 0.668 0.332 0.000
8 Cr 0.668 0.668 0.337
9 Co 0.000 0.000 0.000

***

VASP calculation (PBE) on CrCo after structural relaxation.

Properties
DFT formation energy in meV/atom: 110

Cell: 2.466 2.466 7.247 Å, 90.00 90.00 90.00°
Fractional positions:
1 Cr 0.250 0.250 0.137
2 Cr 0.750 0.750 0.863
3 Co 0.250 0.250 0.623
4 Co 0.750 0.750 0.377

***

VASP calculation (PBE) on CrCo after structural relaxation.

Properties
DFT formation energy in meV/atom: 92

Cell: 2.519 6.479 6.479 Å, 141.39 90.00 90.00°
Fractional positions:
1 Cr 0.000 0.000 0.000
2 Cr 0.000 0.177 0.482
3 Cr 0.000 0.482 0.177
4 Co 0.500 0.011 0.654
5 Co 0.500 0.521 0.521
6 Co 0.500 0.654 0.011

***

VASP calculation (PBE) on Cr4Co after structural relaxation.

Properties
Distance to the lowest polymorph of the same formula in eV/atom: 0.754
DFT formation energy in meV/atom: 860

Cell: 5.590 5.590 5.590 Å, 141.87 141.87 55.03°
Fractional positions:
1 Cr 0.113 0.113 0.000
2 Cr 0.250 0.750 0.500
3 Cr 0.750 0.250 0.500
4 Cr 0.887 0.887 0.000
5 Co 0.500 0.500 0.000

***

VASP calculation (PBE) on CrCo after structural relaxation.

Properties
DFT formation energy in meV/atom: 119

Cell: 2.434 4.048 4.451 Å, 90.00 90.00 90.00°
Fractional positions:
1 Cr 0.250 0.250 0.110
2 Cr 0.750 0.750 0.890
3 Co 0.250 0.750 0.410
4 Co 0.750 0.250 0.590

***

VASP calculation (PBE) on CrCo after structural relaxation.

Properties
DFT formation energy in meV/atom: 188

Cell: 3.969 3.969 3.969 Å, 60.00 60.00 60.00°
Fractional positions:
1 Cr 0.125 0.125 0.125
2 Cr 0.875 0.875 0.875
3 Co 0.375 0.375 0.375
4 Co 0.625 0.625 0.625

***

VASP calculation (PBE) on CrCo after structural relaxation.

Properties
DFT formation energy in meV/atom: 160

Cell: 2.850 2.850 2.850 Å, 90.00 90.00 90.00°
Fractional positions:
1 Cr 0.000 0.000 0.000
2 Co 0.500 0.500 0.500